YCoCu2 | PBE-GGA | optimized geometry

a = 3.9802 Å, b = 3.9802 Å, c = 17.6141 Å
α = 90.00°, β = 90.00°, γ = 90.00°
With the nearest neighbours (Å) after each atom.
Atoms (fractional coordinates):
1 Y 0.0000 0.0000 0.0000  4 Cu 2.80, 4 Co 2.81
2 Y 0.0000 0.5000 0.2500  4 Cu 2.80, 4 Co 2.81
3 Y 0.5000 0.0000 0.7500  4 Cu 2.80, 4 Co 2.81
4 Y 0.5000 0.5000 0.5000  4 Cu 2.80, 4 Co 2.81
5 Co 0.0000 0.0000 0.5000  4 Cu 2.48
6 Co 0.0000 0.5000 0.7500  4 Cu 2.48
7 Co 0.5000 0.0000 0.2500  4 Cu 2.48
8 Co 0.5000 0.5000 0.0000  4 Cu 2.48
9 Cu 0.1442 0.2500 0.6250  2 Cu 2.30, 2 Co 2.48
10 Cu 0.2500 0.6442 0.8750  2 Cu 2.30, 2 Co 2.48
11 Cu 0.2500 0.8558 0.3750  2 Cu 2.30, 2 Co 2.48
12 Cu 0.3558 0.2500 0.1250  2 Cu 2.30, 2 Co 2.48
13 Cu 0.6442 0.7500 0.1250  2 Cu 2.30, 2 Co 2.48
14 Cu 0.7500 0.1442 0.3750  2 Cu 2.30, 2 Co 2.48
15 Cu 0.7500 0.3558 0.8750  2 Cu 2.30, 2 Co 2.48
16 Cu 0.8558 0.7500 0.6250  2 Cu 2.30, 2 Co 2.48

ΔH_f (0 K) = 0.232 eV per atom
magnetization = 0.000 μB/cell
crystal system = tetragonal
V = 279.0 Å³/cell
E above lowest polymorph = 1.18 eV/f.u.
uncorrected energy = -5.209 eV/atom